The following is a PBE calculation of an optimized crystal structure of Rb2TiTlSn, from Alexandria via LeMat-Bulk.

abc: 6.644 6.644 5.320
angles: 90.00 90.00 90.00
Space group P4/mmm (No. 123)
Symmetry-distinct sites (fractional):
Rb 0.000 0.500 0.000 x2
Ti 0.000 0.000 0.500 x1
Tl 0.000 0.000 0.000 x1
Sn 0.500 0.500 0.500 x1

The energy relative to the lowest polymorph listed for this composition comes out at 310.3 meV per atom. The calculation puts the density of states at the Fermi level at 7.975 states/eV/cell.

The following is a PBE calculation of an optimized crystal structure of YRe2As, from Alexandria via LeMat-Bulk.

abc: 9.570 3.334 4.812
angles: 90.00 105.94 90.00
Space group C2/m (No. 12)
Symmetry-distinct sites (fractional):
Y 0.000 0.000 0.000 x2
Re 0.230 0.000 0.680 x4
As 0.000 0.500 0.500 x2

The calculation puts the total energy at -8.836 eV per atom. The calculation puts the density of states at the Fermi level at 5.686 states/eV/cell.